(1)
First-principles (PBE) data for crystalline Y7Te6 at its relaxed geometry, as listed in the Alexandria database.

Calculated values
Uncorrected formation energy in meV/atom: -801
Electronic total energy in eV for the cell shown: -74.5

Lattice parameters (Å, degrees): 11.977 11.977 11.977 32.27 32.27 32.27
Positions (direct):
Y  0.000  0.000  0.000
Y  0.071  0.071  0.572
Y  0.071  0.572  0.071
Y  0.428  0.929  0.929
Y  0.572  0.071  0.071
Y  0.929  0.428  0.929
Y  0.929  0.929  0.428
Te  0.167  0.167  0.167
Te  0.309  0.309  0.309
Te  0.428  0.428  0.428
Te  0.572  0.572  0.572
Te  0.691  0.691  0.691
Te  0.833  0.833  0.833



(2)
First-principles (PBE) data for crystalline Zn2FeCl at its relaxed geometry, as listed in the Alexandria database.

Calculated values
Uncorrected formation energy in meV/atom: 74
Electronic total energy in eV for the cell shown: -12.6
Energy above the most stable polymorph in this dataset in kJ per mole of atoms: 8.3

Lattice parameters (Å, degrees): 2.932 2.932 8.025 90.00 90.00 90.00
Positions (direct):
Zn  0.000  0.000  0.000
Zn  0.500  0.500  0.216
Fe  0.500  0.500  0.785
Cl  0.000  0.000  0.605



(3)
First-principles (PBE) data for crystalline PmHo3Ni at its relaxed geometry, as listed in the Alexandria database.

Calculated values
Electronic total energy in eV for the cell shown: -49.5
Energy above the most stable polymorph in this dataset in kJ per mole of atoms: 0.0
DFT formation energy in meV per atom: -100

Lattice parameters (Å, degrees): 7.455 7.455 5.865 90.00 90.00 120.00
Positions (direct):
Pm  0.333  0.667  0.250
Pm  0.667  0.333  0.750
Ho  0.177  0.354  0.750
Ho  0.177  0.823  0.750
Ho  0.354  0.177  0.250
Ho  0.646  0.823  0.750
Ho  0.823  0.177  0.250
Ho  0.823  0.646  0.250
Ni  0.000  0.000  0.000
Ni  0.000  0.000  0.500



Number 1: D(E_F) 12.27 states/eV/cell, size of the total moment 2.74 μB per cell. Number 2: D(E_F) 1.81 states/eV/cell, size of the total moment 3.01 μB per cell. Number 3: D(E_F) 10.64 states/eV/cell, size of the total moment 0.00 μB per cell.